Entry 1:
! SmRuN PBE relaxed; values from VASP
! raw formation energy	-0.347	eV per atom
! uncorrected energy	-7.787	eV per atom
! Fermi-level density of states	1.3	states/eV/cell
! energy above the most stable polymorph in this dataset	0.31	kcal/mol of atoms
&SYSTEM
  ibrav = 0, nat = 3, ntyp = 3
/
ATOMIC_SPECIES
Sm 150.36 Sm.upf
Ru 101.07 Ru.upf
N 14.01 N.upf
ATOMIC_POSITIONS crystal
Sm 0.0000 0.0000 0.0000
Ru 0.6667 0.3333 0.5452
N 0.3333 0.6667 0.6968
CELL_PARAMETERS angstrom
3.3725 0.0000 0.0000
-1.6862 2.9206 0.0000
0.0000 0.0000 4.9188

***

Entry 2:
! Tb2SmRuN4 PBE relaxed; values from VASP
! raw formation energy	-1.001	eV per atom
! uncorrected energy	-8.071	eV per atom
! Fermi-level density of states	4.9	states/eV/cell
&SYSTEM
  ibrav = 0, nat = 16, ntyp = 4
/
ATOMIC_SPECIES
Tb 158.93 Tb.upf
Sm 150.36 Sm.upf
Ru 101.07 Ru.upf
N 14.01 N.upf
ATOMIC_POSITIONS crystal
Tb 0.1312 0.8688 0.5425
Tb 0.1312 0.8688 0.9575
Tb 0.8688 0.1312 0.0425
Tb 0.8688 0.1312 0.4575
Sm 0.3762 0.6238 0.7500
Sm 0.6238 0.3762 0.2500
Ru 0.3591 0.6409 0.2500
Ru 0.6409 0.3591 0.7500
N 0.0563 0.9437 0.7500
N 0.2317 0.7683 0.1300
N 0.2317 0.7683 0.3700
N 0.5000 0.5000 0.0000
N 0.5000 0.5000 0.5000
N 0.7683 0.2317 0.6300
N 0.7683 0.2317 0.8700
N 0.9437 0.0563 0.2500
CELL_PARAMETERS angstrom
1.7149 -5.8413 0.0000
1.7149 5.8413 0.0000
0.0000 0.0000 11.6879

***

Entry 3:
! TbSm2RuN4 PBE relaxed; values from VASP
! raw formation energy	-0.905	eV per atom
! uncorrected energy	-7.986	eV per atom
! Fermi-level density of states	3.5	states/eV/cell
&SYSTEM
  ibrav = 0, nat = 16, ntyp = 4
/
ATOMIC_SPECIES
Tb 158.93 Tb.upf
Sm 150.36 Sm.upf
Ru 101.07 Ru.upf
N 14.01 N.upf
ATOMIC_POSITIONS crystal
Tb 0.1281 0.8719 0.7500
Tb 0.8719 0.1281 0.2500
Sm 0.3682 0.6318 0.5428
Sm 0.3682 0.6318 0.9572
Sm 0.6318 0.3682 0.0428
Sm 0.6318 0.3682 0.4572
Ru 0.1400 0.8600 0.2500
Ru 0.8600 0.1400 0.7500
N 0.0000 0.0000 0.0000
N 0.0000 0.0000 0.5000
N 0.2716 0.7284 0.1355
N 0.2716 0.7284 0.3645
N 0.4434 0.5566 0.7500
N 0.5566 0.4434 0.2500
N 0.7284 0.2716 0.6355
N 0.7284 0.2716 0.8645
CELL_PARAMETERS angstrom
1.7175 -5.8869 0.0000
1.7175 5.8869 0.0000
0.0000 0.0000 11.9322

***

Entry 4:
! SmTh2RuN4 PBE relaxed; values from VASP
! raw formation energy	-1.070	eV per atom
! uncorrected energy	-8.837	eV per atom
! Fermi-level density of states	7.4	states/eV/cell
&SYSTEM
  ibrav = 0, nat = 16, ntyp = 4
/
ATOMIC_SPECIES
Sm 150.36 Sm.upf
Th 232.04 Th.upf
Ru 101.07 Ru.upf
N 14.01 N.upf
ATOMIC_POSITIONS crystal
Sm 0.1138 0.8862 0.7500
Sm 0.8862 0.1138 0.2500
Th 0.3690 0.6310 0.5546
Th 0.3690 0.6310 0.9454
Th 0.6310 0.3690 0.0546
Th 0.6310 0.3690 0.4454
Ru 0.1476 0.8524 0.2500
Ru 0.8524 0.1476 0.7500
N 0.0000 0.0000 0.0000
N 0.0000 0.0000 0.5000
N 0.2757 0.7243 0.1259
N 0.2757 0.7243 0.3741
N 0.4595 0.5405 0.7500
N 0.5405 0.4595 0.2500
N 0.7243 0.2757 0.6259
N 0.7243 0.2757 0.8741
CELL_PARAMETERS angstrom
1.7444 -6.0534 0.0000
1.7444 6.0534 0.0000
0.0000 0.0000 11.9020

***

Entry 5:
! SmTm2RuN4 PBE relaxed; values from VASP
! raw formation energy	-1.076	eV per atom
! uncorrected energy	-8.106	eV per atom
! Fermi-level density of states	5.6	states/eV/cell
&SYSTEM
  ibrav = 0, nat = 16, ntyp = 4
/
ATOMIC_SPECIES
Sm 150.36 Sm.upf
Tm 168.93 Tm.upf
Ru 101.07 Ru.upf
N 14.01 N.upf
ATOMIC_POSITIONS crystal
Sm 0.1237 0.8763 0.7500
Sm 0.8763 0.1237 0.2500
Tm 0.3690 0.6310 0.5420
Tm 0.3690 0.6310 0.9580
Tm 0.6310 0.3690 0.0420
Tm 0.6310 0.3690 0.4580
Ru 0.1392 0.8608 0.2500
Ru 0.8608 0.1392 0.7500
N 0.0000 0.0000 0.0000
N 0.0000 0.0000 0.5000
N 0.2660 0.7340 0.1260
N 0.2660 0.7340 0.3740
N 0.4478 0.5522 0.7500
N 0.5522 0.4478 0.2500
N 0.7340 0.2660 0.6260
N 0.7340 0.2660 0.8740
CELL_PARAMETERS angstrom
1.6953 -5.7597 0.0000
1.6953 5.7597 0.0000
0.0000 0.0000 11.4709

***

Entry 6:
! SmY2RuN4 PBE relaxed; values from VASP
! raw formation energy	-1.006	eV per atom
! uncorrected energy	-8.534	eV per atom
! Fermi-level density of states	4.8	states/eV/cell
&SYSTEM
  ibrav = 0, nat = 16, ntyp = 4
/
ATOMIC_SPECIES
Sm 150.36 Sm.upf
Y 88.91 Y.upf
Ru 101.07 Ru.upf
N 14.01 N.upf
ATOMIC_POSITIONS crystal
Sm 0.1246 0.8754 0.7500
Sm 0.8754 0.1246 0.2500
Y 0.3688 0.6312 0.5423
Y 0.3688 0.6312 0.9577
Y 0.6312 0.3688 0.0423
Y 0.6312 0.3688 0.4577
Ru 0.1399 0.8601 0.2500
Ru 0.8601 0.1399 0.7500
N 0.0000 0.0000 0.0000
N 0.0000 0.0000 0.5000
N 0.2675 0.7325 0.1294
N 0.2675 0.7325 0.3706
N 0.4449 0.5551 0.7500
N 0.5551 0.4449 0.2500
N 0.7325 0.2675 0.6294
N 0.7325 0.2675 0.8706
CELL_PARAMETERS angstrom
1.7102 -5.8245 0.0000
1.7102 5.8245 0.0000
0.0000 0.0000 11.6719

***

Entry 7:
! SmZr2RuN4 PBE relaxed; values from VASP
! raw formation energy	-1.096	eV per atom
! uncorrected energy	-9.145	eV per atom
! Fermi-level density of states	6.0	states/eV/cell
&SYSTEM
  ibrav = 0, nat = 16, ntyp = 4
/
ATOMIC_SPECIES
Sm 150.36 Sm.upf
Zr 91.22 Zr.upf
Ru 101.07 Ru.upf
N 14.01 N.upf
ATOMIC_POSITIONS crystal
Sm 0.1155 0.8845 0.7500
Sm 0.8845 0.1155 0.2500
Zr 0.3693 0.6307 0.5489
Zr 0.3693 0.6307 0.9511
Zr 0.6307 0.3693 0.0489
Zr 0.6307 0.3693 0.4511
Ru 0.1472 0.8528 0.2500
Ru 0.8528 0.1472 0.7500
N 0.0000 0.0000 0.0000
N 0.0000 0.0000 0.5000
N 0.2702 0.7298 0.1140
N 0.2702 0.7298 0.3860
N 0.4575 0.5425 0.7500
N 0.5425 0.4575 0.2500
N 0.7298 0.2702 0.6140
N 0.7298 0.2702 0.8860
CELL_PARAMETERS angstrom
1.6328 -5.6894 0.0000
1.6328 5.6894 0.0000
0.0000 0.0000 11.2928

***

Entry 8:
! Sn3RuN PBE relaxed; values from VASP
! raw formation energy	0.963	eV per atom
! uncorrected energy	-4.959	eV per atom
! Fermi-level density of states	3.8	states/eV/cell
! energy above the most stable polymorph in this dataset	4.56	kcal/mol of atoms
&SYSTEM
  ibrav = 0, nat = 5, ntyp = 3
/
ATOMIC_SPECIES
Sn 118.71 Sn.upf
Ru 101.07 Ru.upf
N 14.01 N.upf
ATOMIC_POSITIONS crystal
Sn 0.0000 0.0000 0.5000
Sn 0.0000 0.5000 0.0000
Sn 0.5000 0.0000 0.0000
Ru 0.0000 0.0000 0.0000
N 0.5000 0.5000 0.5000
CELL_PARAMETERS angstrom
5.1731 0.0000 0.0000
0.0000 5.1731 0.0000
0.0000 0.0000 5.1731

***

Entry 9:
! SnRuN3 PBE relaxed; values from VASP
! raw formation energy	2.145	eV per atom
! uncorrected energy	-5.506	eV per atom
! Fermi-level density of states	5.5	states/eV/cell
&SYSTEM
  ibrav = 0, nat = 5, ntyp = 3
/
ATOMIC_SPECIES
Sn 118.71 Sn.upf
Ru 101.07 Ru.upf
N 14.01 N.upf
ATOMIC_POSITIONS crystal
Sn 0.0000 0.0000 0.0000
Ru 0.5000 0.5000 0.5000
N 0.0000 0.0000 0.5000
N 0.0000 0.5000 0.0000
N 0.5000 0.0000 0.0000
CELL_PARAMETERS angstrom
4.0667 0.0000 0.0000
0.0000 4.0667 0.0000
0.0000 0.0000 4.0667

***

Entry 10:
! Sn2RuN PBE relaxed; values from VASP
! raw formation energy	0.447	eV per atom
! uncorrected energy	-5.955	eV per atom
! Fermi-level density of states	8.6	states/eV/cell
&SYSTEM
  ibrav = 0, nat = 8, ntyp = 3
/
ATOMIC_SPECIES
Sn 118.71 Sn.upf
Ru 101.07 Ru.upf
N 14.01 N.upf
ATOMIC_POSITIONS crystal
Sn 0.0671 0.1250 0.4421
Sn 0.3750 0.9329 0.0579
Sn 0.6829 0.6250 0.5579
Sn 0.8750 0.3171 0.9421
Ru 0.2500 0.7500 0.5000
Ru 0.5000 0.5000 0.0000
N 0.0000 0.0000 0.0000
N 0.7500 0.2500 0.5000
CELL_PARAMETERS angstrom
-3.1209 3.1209 3.6838
3.1209 -3.1209 3.6838
3.1209 3.1209 -3.6838

***

Entry 11:
! SnRuN PBE relaxed; values from VASP
! raw formation energy	0.228	eV per atom
! uncorrected energy	-6.973	eV per atom
! Fermi-level density of states	2.3	states/eV/cell
&SYSTEM
  ibrav = 0, nat = 6, ntyp = 3
/
ATOMIC_SPECIES
Sn 118.71 Sn.upf
Ru 101.07 Ru.upf
N 14.01 N.upf
ATOMIC_POSITIONS crystal
Sn 0.1585 0.1585 0.1345
Sn 0.8415 0.8415 0.8655
Ru 0.0911 0.0911 0.7591
Ru 0.9089 0.9089 0.2409
N 0.4724 0.4724 0.4207
N 0.5276 0.5276 0.5793
CELL_PARAMETERS angstrom
4.8376 -1.4622 0.0000
4.8376 1.4622 0.0000
-1.5961 0.0000 7.5414

***

Entry 12:
! SnRu2N PBE relaxed; values from VASP
! raw formation energy	1.136	eV per atom
! uncorrected energy	-6.584	eV per atom
! Fermi-level density of states	2.4	states/eV/cell
&SYSTEM
  ibrav = 0, nat = 4, ntyp = 3
/
ATOMIC_SPECIES
Sn 118.71 Sn.upf
Ru 101.07 Ru.upf
N 14.01 N.upf
ATOMIC_POSITIONS crystal
Sn 0.0000 0.0000 0.0000
Ru 0.2500 0.2500 0.2500
Ru 0.7500 0.7500 0.7500
N 0.5000 0.5000 0.5000
CELL_PARAMETERS angstrom
0.0000 3.0648 3.0648
3.0648 0.0000 3.0648
3.0648 3.0648 0.0000

***

Q: Which of these has the highest raw formation energy?
A: SnRuN3